Record 1
# AgPSCl2 PBE relaxed
# space group	P4/mmm
# M_tot	0.70	μB/f.u.
# uncorrected energy	-11.99	eV for the cell shown
# formation energy from raw total energies	0.8191	eV/atom
data_AgPSCl2
_space_group_name_H-M_alt 'P 1'
_space_group_IT_number 1
_space_group_name_Hall 'P 1'
_cell_length_a 4.750
_cell_length_b 4.750
_cell_length_c 5.298
_cell_angle_alpha 90.00
_cell_angle_beta 90.00
_cell_angle_gamma 90.00
loop_
_atom_site_label
_atom_site_fract_x
_atom_site_fract_y
_atom_site_fract_z
_atom_site_occupancy
Ag1 0.000 0.000 0.000 1
P1 0.000 0.000 0.500 1
S1 0.500 0.500 0.500 1
Cl1 0.000 0.500 0.000 1
Cl2 0.500 0.000 0.000 1

---

Record 2
# AgPSeCl2 PBE relaxed
# space group	P4/mmm
# M_tot	0.00	μB/f.u.
# uncorrected energy	-12.84	eV for the cell shown
# formation energy from raw total energies	0.5201	eV/atom
data_AgPSeCl2
_space_group_name_H-M_alt 'P 1'
_space_group_IT_number 1
_space_group_name_Hall 'P 1'
_cell_length_a 5.247
_cell_length_b 5.247
_cell_length_c 4.751
_cell_angle_alpha 90.00
_cell_angle_beta 90.00
_cell_angle_gamma 90.00
loop_
_atom_site_label
_atom_site_fract_x
_atom_site_fract_y
_atom_site_fract_z
_atom_site_occupancy
Ag1 0.000 0.000 0.000 1
P1 0.500 0.500 0.000 1
Se1 0.500 0.500 0.500 1
Cl1 0.000 0.500 0.500 1
Cl2 0.500 0.000 0.500 1

---

Record 3
# AgPSeCl2 PBE relaxed
# space group	P4/mmm
# M_tot	0.48	μB/f.u.
# uncorrected energy	-12.39	eV for the cell shown
# formation energy from raw total energies	0.6093	eV/atom
data_AgPSeCl2
_space_group_name_H-M_alt 'P 1'
_space_group_IT_number 1
_space_group_name_Hall 'P 1'
_cell_length_a 4.808
_cell_length_b 4.808
_cell_length_c 5.320
_cell_angle_alpha 90.00
_cell_angle_beta 90.00
_cell_angle_gamma 90.00
loop_
_atom_site_label
_atom_site_fract_x
_atom_site_fract_y
_atom_site_fract_z
_atom_site_occupancy
Ag1 0.000 0.000 0.000 1
P1 0.000 0.000 0.500 1
Se1 0.500 0.500 0.500 1
Cl1 0.000 0.500 0.000 1
Cl2 0.500 0.000 0.000 1